[1]
VASP calculation (GGA-PBE) on a relaxed TlNi2Cl crystal.

## Properties
- formation energy from raw total energies (eV/atom) = 0.22
- energy (eV/atom) = -3.73
- M_tot (μB/cell) = 0.00

Lattice parameters (Å, degrees): 7.5614 7.5614 7.5614 142.50 142.50 54.07
Element x y z (fractional)
Tl (0.0000, 0.0000, 0.0000)
Tl (0.7500, 0.2500, 0.5000)
Ni (0.2790, 0.6250, 0.1540)
Ni (0.3750, 0.5290, 0.6540)
Ni (0.4710, 0.1250, 0.8460)
Ni (0.8750, 0.7210, 0.3460)
Cl (0.2500, 0.7500, 0.5000)
Cl (0.5000, 0.5000, 0.0000)

[2]
VASP calculation (GGA-PBE) on a relaxed ScOsCl2 crystal.

## Properties
- formation energy from raw total energies (eV/atom) = 0.48
- energy (eV/atom) = -4.83
- M_tot (μB/cell) = 2.69

Lattice parameters (Å, degrees): 9.1158 9.1158 9.1158 20.21 20.21 20.21
Element x y z (fractional)
Sc (0.0000, 0.0000, 0.0000)
Os (0.5000, 0.5000, 0.5000)
Cl (0.0917, 0.0917, 0.0917)
Cl (0.9083, 0.9083, 0.9083)

[3]
VASP calculation (GGA-PBE) on a relaxed Al4MoIr crystal.

## Properties
- energy (eV/atom) = -5.76
- formation enthalpy at 0 K (eV per atom) = 0.02
- M_tot (μB/cell) = 0.00

Lattice parameters (Å, degrees): 4.9938 4.9938 4.9938 60.00 60.00 60.00
Element x y z (fractional)
Al (0.1248, 0.1248, 0.1248)
Al (0.1248, 0.1248, 0.6255)
Al (0.1248, 0.6255, 0.1248)
Al (0.6255, 0.1248, 0.1248)
Mo (0.5000, 0.5000, 0.5000)
Ir (0.7500, 0.7500, 0.7500)

[4]
VASP calculation (GGA-PBE) on a relaxed TbEr2Pd2 crystal.

## Properties
- energy (eV/atom) = -5.57
- formation enthalpy at 0 K (eV per atom) = -0.74
- M_tot (μB/cell) = 0.00

Lattice parameters (Å, degrees): 7.7783 7.7783 3.9162 90.00 90.00 90.00
Element x y z (fractional)
Tb (0.0000, 0.0000, 0.0000)
Tb (0.5000, 0.5000, 0.0000)
Er (0.1636, 0.3364, 0.5000)
Er (0.3364, 0.8364, 0.5000)
Er (0.6636, 0.1636, 0.5000)
Er (0.8364, 0.6636, 0.5000)
Pd (0.1329, 0.6329, 0.0000)
Pd (0.3671, 0.1329, 0.0000)
Pd (0.6329, 0.8671, 0.0000)
Pd (0.8671, 0.3671, 0.0000)

[5]
VASP calculation (GGA-PBE) on a relaxed VPbS3 crystal.

## Properties
- formation energy from raw total energies (eV/atom) = -0.43
- energy (eV/atom) = -5.47
- M_tot (μB/cell) = 0.92

Lattice parameters (Å, degrees): 4.6813 4.6813 4.6813 90.00 90.00 90.00
Element x y z (fractional)
V (0.0000, 0.0000, 0.0000)
Pb (0.5000, 0.5000, 0.5000)
S (0.0000, 0.0000, 0.5000)
S (0.0000, 0.5000, 0.0000)
S (0.5000, 0.0000, 0.0000)

[6]
VASP calculation (GGA-PBE) on a relaxed Dy5Tl2Hg crystal.

## Properties
- energy (eV/atom) = -3.79
- formation enthalpy at 0 K (eV per atom) = -0.28
- M_tot (μB/cell) = 0.00

Lattice parameters (Å, degrees): 8.7081 8.7081 8.7081 121.63 121.63 87.21
Element x y z (fractional)
Dy (0.0000, 0.0000, 0.0000)
Dy (0.0028, 0.5028, 0.1981)
Dy (0.1954, 0.9972, 0.5000)
Dy (0.3046, 0.8046, 0.8019)
Dy (0.4972, 0.6954, 0.5000)
Dy (0.5000, 0.5000, 0.0000)
Dy (0.5028, 0.3046, 0.5000)
Dy (0.6954, 0.1954, 0.1981)
Dy (0.8046, 0.0028, 0.5000)
Dy (0.9972, 0.4972, 0.8019)
Tl (0.1489, 0.3511, 0.5000)
Tl (0.3511, 0.8511, 0.2022)
Tl (0.6489, 0.1489, 0.7978)
Tl (0.8511, 0.6489, 0.5000)
Hg (0.2500, 0.2500, 0.0000)
Hg (0.7500, 0.7500, 0.0000)

[7]
VASP calculation (GGA-PBE) on a relaxed CaZr2FeSi crystal.

## Properties
- formation energy from raw total energies (eV/atom) = 2.10
- energy (eV/atom) = -4.50
- M_tot (μB/cell) = 0.06

Lattice parameters (Å, degrees): 4.8847 4.8847 4.9100 90.00 90.00 90.00
Element x y z (fractional)
Ca (0.0000, 0.0000, 0.0000)
Zr (0.0000, 0.5000, 0.0000)
Zr (0.5000, 0.0000, 0.0000)
Fe (0.5000, 0.5000, 0.5000)
Si (0.0000, 0.0000, 0.5000)

[8]
VASP calculation (GGA-PBE) on a relaxed Cu2SiAs crystal.

## Properties
- formation energy from raw total energies (eV/atom) = 0.24
- energy (eV/atom) = -4.32
- M_tot (μB/cell) = 0.00

Lattice parameters (Å, degrees): 4.6512 4.6512 4.6512 129.80 129.80 73.72
Element x y z (fractional)
Cu (0.2500, 0.7500, 0.5000)
Cu (0.7500, 0.2500, 0.5000)
Si (0.0000, 0.0000, 0.0000)
As (0.5000, 0.5000, 0.0000)